Record 1
Below is an optimized crystal structure of LaHoSbTe, with properties calculated at the PBE-GGA level.

Cell and atoms, written as POSCAR:
```
LaHoSbTe
1.0
4.480 0.000 0.000
-2.240 3.880 0.000
0.000 0.000 21.974
La Ho Sb Te
3 3 3 3
direct
0.000 0.000 0.000
0.333 0.667 0.667
0.667 0.333 0.333
0.000 0.000 0.494
0.333 0.667 0.160
0.667 0.333 0.827
0.000 0.000 0.752
0.333 0.667 0.419
0.667 0.333 0.086
0.000 0.000 0.241
0.333 0.667 0.908
0.667 0.333 0.575
```

Results
formation energy without anion corrections = -1.351 eV per atom

***

Record 2
Below is an optimized crystal structure of Mg5TlIn2Rh2, with properties calculated at the PBE-GGA level.

Cell and atoms, written as POSCAR:
```
Mg5TlIn2Rh2
1.0
9.726 0.000 0.000
0.000 9.726 0.000
0.000 0.000 4.294
Mg Tl In Rh
10 2 4 4
direct
0.000 0.500 0.000
0.081 0.211 0.000
0.211 0.919 0.000
0.289 0.419 0.000
0.419 0.711 0.000
0.500 0.000 0.000
0.581 0.289 0.000
0.711 0.581 0.000
0.789 0.081 0.000
0.919 0.789 0.000
0.000 0.000 0.500
0.500 0.500 0.500
0.170 0.670 0.500
0.330 0.170 0.500
0.670 0.830 0.500
0.830 0.330 0.500
0.122 0.378 0.500
0.378 0.878 0.500
0.622 0.122 0.500
0.878 0.622 0.500
```

Results
E_form = -0.274 eV/atom

***

Record 3
Below is an optimized crystal structure of Ac2PrNd, with properties calculated at the PBE-GGA level.

Cell and atoms, written as POSCAR:
```
Ac2PrNd
1.0
8.639 0.000 0.000
0.000 8.639 0.000
0.000 0.000 8.639
Ac Pr Nd
8 4 4
direct
0.250 0.250 0.250
0.250 0.250 0.750
0.250 0.750 0.250
0.250 0.750 0.750
0.750 0.250 0.250
0.750 0.250 0.750
0.750 0.750 0.250
0.750 0.750 0.750
0.000 0.000 0.000
0.000 0.500 0.500
0.500 0.000 0.500
0.500 0.500 0.000
0.000 0.000 0.500
0.000 0.500 0.000
0.500 0.000 0.000
0.500 0.500 0.500
```

Results
E_form = 0.113 eV/atom

***

Record 4
Below is an optimized crystal structure of Ce3Mn, with properties calculated at the PBE-GGA level.

Cell and atoms, written as POSCAR:
```
Ce3Mn
1.0
3.497 0.000 0.000
0.000 9.388 0.000
0.000 0.000 5.726
Ce Mn
6 2
direct
0.000 0.000 0.000
0.000 0.185 0.530
0.000 0.815 0.530
0.500 0.315 0.030
0.500 0.500 0.500
0.500 0.685 0.030
0.000 0.500 0.763
0.500 0.000 0.263
```

Results
E_form = 0.170 eV/atom

***

Record 5
Below is an optimized crystal structure of Al7FeCu2, with properties calculated at the PBE-GGA level.

Cell and atoms, written as POSCAR:
```
Al7FeCu2
1.0
6.323 0.000 0.000
0.000 6.323 0.000
0.000 0.000 14.774
Al Fe Cu
28 4 8
direct
0.000 0.000 0.134
0.000 0.000 0.866
0.084 0.294 0.400
0.084 0.294 0.600
0.163 0.663 0.250
0.163 0.663 0.750
0.206 0.416 0.100
0.206 0.416 0.900
0.294 0.916 0.400
0.294 0.916 0.600
0.337 0.163 0.250
0.337 0.163 0.750
0.416 0.794 0.100
0.416 0.794 0.900
0.500 0.500 0.366
0.500 0.500 0.634
0.584 0.206 0.100
0.584 0.206 0.900
0.663 0.837 0.250
0.663 0.837 0.750
0.706 0.084 0.400
0.706 0.084 0.600
0.794 0.584 0.100
0.794 0.584 0.900
0.837 0.337 0.250
0.837 0.337 0.750
0.916 0.706 0.400
0.916 0.706 0.600
0.000 0.000 0.299
0.000 0.000 0.701
0.500 0.500 0.201
0.500 0.500 0.799
0.087 0.728 0.000
0.228 0.587 0.500
0.272 0.087 0.000
0.413 0.228 0.500
0.587 0.772 0.500
0.728 0.913 0.000
0.772 0.413 0.500
0.913 0.272 0.000
```

Results
E_form = -0.257 eV/atom

***

Record 6
Below is an optimized crystal structure of CsAg2IO6, with properties calculated at the PBE-GGA level.

Cell and atoms, written as POSCAR:
```
CsAg2IO6
1.0
2.895 1.672 5.612
-2.895 1.672 5.612
0.000 -3.343 5.612
Cs Ag I O
1 2 1 6
direct
0.000 0.000 0.000
0.277 0.277 0.277
0.799 0.799 0.799
0.472 0.472 0.472
0.107 0.595 0.492
0.261 0.514 0.821
0.492 0.107 0.595
0.514 0.821 0.261
0.595 0.492 0.107
0.821 0.261 0.514
```

Results
formation energy without anion corrections = -0.350 eV per atom

***

Record 7
Below is an optimized crystal structure of KCd3, with properties calculated at the PBE-GGA level.

Cell and atoms, written as POSCAR:
```
KCd3
1.0
6.934 0.000 0.000
0.000 10.184 0.000
0.000 0.000 3.344
K Cd
2 6
direct
0.000 0.000 0.000
0.500 0.500 0.000
0.000 0.500 0.000
0.250 0.250 0.500
0.250 0.750 0.500
0.500 0.000 0.000
0.750 0.250 0.500
0.750 0.750 0.500
```

Results
E_form = 0.077 eV/atom

***

Record 8
Below is an optimized crystal structure of Nd2NpTcN5, with properties calculated at the PBE-GGA level.

Cell and atoms, written as POSCAR:
```
Nd2NpTcN5
1.0
1.745 -6.875 0.000
1.745 6.875 0.000
0.000 0.000 10.522
Nd Np Tc N
4 2 2 10
direct
0.106 0.894 0.500
0.139 0.861 0.123
0.861 0.139 0.623
0.894 0.106 0.000
0.207 0.793 0.827
0.793 0.207 0.327
0.477 0.523 0.274
0.523 0.477 0.774
0.043 0.957 0.854
0.283 0.717 0.461
0.320 0.680 0.201
0.367 0.633 0.814
0.490 0.510 0.598
0.510 0.490 0.098
0.633 0.367 0.314
0.680 0.320 0.701
0.717 0.283 0.961
0.957 0.043 0.354
```

Results
formation energy without anion corrections = -0.961 eV per atom